NaTc3Au: relaxed, PBE.

Structure (extended XYZ):
```
5
Lattice="4.461 0.000 0.000 0.000 4.461 0.000 0.000 0.000 4.461" Properties=species:S:1:pos:R:3 pbc="T T T"
Na 0.000 0.000 0.000
Tc 0.000 0.000 2.230
Tc 0.000 2.230 0.000
Tc 2.230 0.000 0.000
Au 2.230 2.230 2.230
```

Calculated values
* Fermi-level density of states: 4.39 states/eV per cell
* spin magnetization: 0.533 μB/atom
* ΔH_f (0 K): 2.486 eV/atom
* VASP energy: -23.3 eV/cell
* volume: 17.75 A^3/atom

=====

NaTc3Au: relaxed, PBE.

Structure (extended XYZ):
```
5
Lattice="5.060 0.000 0.000 0.000 5.060 0.000 0.000 0.000 5.060" Properties=species:S:1:pos:R:3 pbc="T T T"
Na 0.000 0.000 0.000
Tc 0.000 2.530 2.530
Tc 2.530 0.000 2.530
Tc 2.530 2.530 0.000
Au 2.530 2.530 2.530
```

Calculated values
* Fermi-level density of states: 6.58 states/eV per cell
* spin magnetization: 1.788 μB/atom
* ΔH_f (0 K): 2.109 eV/atom
* VASP energy: -25.2 eV/cell
* volume: 25.92 A^3/atom

=====

NaTcAu2: relaxed, PBE.

Structure (extended XYZ):
```
16
Lattice="4.099 0.000 0.000 0.000 4.099 0.000 0.000 0.000 19.072" Properties=species:S:1:pos:R:3 pbc="T T T"
Na 0.000 0.000 0.000
Na 0.000 2.049 4.768
Na 2.049 0.000 14.304
Na 2.049 2.049 9.536
Tc 0.000 0.000 9.536
Tc 0.000 2.049 14.304
Tc 2.049 0.000 4.768
Tc 2.049 2.049 0.000
Au 1.018 1.025 11.920
Au 1.025 3.068 16.688
Au 1.025 3.080 7.152
Au 1.031 1.025 2.384
Au 3.068 3.074 2.384
Au 3.074 1.018 7.152
Au 3.074 1.031 16.688
Au 3.080 3.074 11.920
```

Calculated values
* Fermi-level density of states: 8.54 states/eV per cell
* spin magnetization: 0.772 μB/atom
* ΔH_f (0 K): 0.808 eV/atom
* VASP energy: -60.0 eV/cell
* volume: 20.02 A^3/atom

=====

Na2VTcAu: relaxed, PBE.

Structure (extended XYZ):
```
5
Lattice="5.303 0.000 0.000 0.000 5.303 0.000 0.000 0.000 4.890" Properties=species:S:1:pos:R:3 pbc="T T T"
Na 0.000 2.652 0.000
Na 2.652 0.000 0.000
V 0.000 0.000 0.000
Tc 2.652 2.652 2.445
Au 0.000 0.000 2.445
```

Calculated values
* Fermi-level density of states: 4.94 states/eV per cell
* spin magnetization: 1.490 μB/atom
* ΔH_f (0 K): 1.638 eV/atom
* VASP energy: -17.2 eV/cell
* volume: 27.51 A^3/atom

=====

NaYTc2Au: relaxed, PBE.

Structure (extended XYZ):
```
5
Lattice="4.676 0.000 0.000 0.000 4.676 0.000 0.000 0.000 4.986" Properties=species:S:1:pos:R:3 pbc="T T T"
Na 0.000 0.000 0.000
Y 0.000 0.000 2.493
Tc 0.000 2.338 0.000
Tc 2.338 0.000 0.000
Au 2.338 2.338 2.493
```

Calculated values
* Fermi-level density of states: 4.49 states/eV per cell
* spin magnetization: 0.855 μB/atom
* ΔH_f (0 K): 1.792 eV/atom
* VASP energy: -22.8 eV/cell
* volume: 21.80 A^3/atom

=====

NaZr2TcAu: relaxed, PBE.

Structure (extended XYZ):
```
5
Lattice="4.881 0.000 0.000 0.000 4.881 0.000 0.000 0.000 5.277" Properties=species:S:1:pos:R:3 pbc="T T T"
Na 0.000 0.000 0.000
Zr 0.000 2.440 2.639
Zr 2.440 0.000 2.639
Tc 0.000 0.000 2.639
Au 2.440 2.440 0.000
```

Calculated values
* Fermi-level density of states: 3.33 states/eV per cell
* spin magnetization: 0.000 μB/atom
* ΔH_f (0 K): 0.634 eV/atom
* VASP energy: -28.9 eV/cell
* volume: 25.14 A^3/atom

=====

Na2TeAu: relaxed, PBE.

Structure (extended XYZ):
```
16
Lattice="8.409 0.000 0.000 0.000 8.409 0.000 0.000 0.000 5.995" Properties=species:S:1:pos:R:3 pbc="T T T"
Na 1.976 2.102 0.749
Na 2.102 6.180 2.248
Na 2.102 6.434 5.246
Na 2.229 2.102 3.747
Na 6.180 6.307 3.747
Na 6.307 1.976 5.246
Na 6.307 2.229 2.248
Na 6.434 6.307 0.749
Te 0.000 0.000 2.998
Te 0.000 4.205 4.496
Te 4.205 0.000 1.499
Te 4.205 4.205 0.000
Au 0.000 0.000 0.000
Au 0.000 4.205 1.499
Au 4.205 0.000 4.496
Au 4.205 4.205 2.998
```

Calculated values
* Fermi-level density of states: 3.51 states/eV per cell
* spin magnetization: 0.000 μB/atom
* VASP energy: -42.9 eV/cell
* volume: 26.50 A^3/atom

=====

NaTeAu: relaxed, PBE.

Structure (extended XYZ):
```
12
Lattice="11.003 0.000 0.000 0.000 4.826 0.000 -5.258 0.000 7.346" Properties=species:S:1:pos:R:3 pbc="T T T"
Na -1.049 0.000 2.486
Na 1.293 2.413 4.860
Na 4.452 2.413 2.486
Na 6.794 0.000 4.860
Te 1.422 2.413 1.579
Te -1.179 0.000 5.767
Te 6.924 0.000 1.579
Te 4.323 2.413 5.767
Au -1.753 2.413 4.864
Au 1.996 0.000 2.482
Au 3.748 0.000 4.864
Au 7.498 2.413 2.482
```

Calculated values
* Fermi-level density of states: 0.37 states/eV per cell
* spin magnetization: 0.000 μB/atom
* VASP energy: -35.9 eV/cell
* volume: 32.51 A^3/atom

=====

Na3Te5Au2: relaxed, PBE.

Structure (extended XYZ):
```
20
Lattice="-4.738 8.158 4.270 4.738 -8.158 4.270 4.738 8.158 -4.270" Properties=species:S:1:pos:R:3 pbc="T T T"
Na 2.368 3.303 0.000
Na 0.000 0.000 2.135
Na 2.368 -3.303 4.270
Na 2.370 11.461 0.000
Na 0.000 0.000 6.405
Na 2.370 4.855 4.270
Te 2.603 0.076 0.000
Te 4.738 4.674 -2.135
Te 4.738 0.000 2.135
Te 0.000 3.485 2.135
Te 2.603 -0.076 4.270
Te 2.135 8.235 0.000
Te 4.738 4.674 2.135
Te 0.000 8.158 2.135
Te 0.000 3.485 6.405
Te 2.135 8.082 4.270
Au 3.792 -6.109 4.270
Au 3.792 6.109 0.000
Au 0.946 2.050 4.270
Au 0.946 14.267 0.000
```

Calculated values
* Fermi-level density of states: 8.90 states/eV per cell
* spin magnetization: 0.000 μB/atom
* VASP energy: -60.3 eV/cell
* volume: 33.01 A^3/atom

=====

NaTeAu: relaxed, PBE.

Structure (extended XYZ):
```
12
Lattice="11.037 0.000 0.000 0.000 6.032 0.000 0.000 0.000 5.620" Properties=species:S:1:pos:R:3 pbc="T T T"
Na 1.213 1.508 0.171
Na 4.305 4.524 2.981
Na 6.732 1.508 2.639
Na 9.823 4.524 5.449
Te 1.620 4.524 1.344
Te 3.898 1.508 4.154
Te 7.139 4.524 1.466
Te 9.417 1.508 4.276
Au 0.000 0.000 2.810
Au 0.000 3.016 2.810
Au 5.518 0.000 0.000
Au 5.518 3.016 0.000
```

Calculated values
* spin magnetization: 0.000 μB/atom
* VASP energy: -37.5 eV/cell
* volume: 31.18 A^3/atom

=====

Na2Te4Au: relaxed, PBE.

Structure (extended XYZ):
```
14
Lattice="5.694 0.000 0.000 0.000 5.694 0.000 0.000 0.000 15.067" Properties=species:S:1:pos:R:3 pbc="T T T"
Na 0.000 0.000 1.755
Na 0.000 0.000 13.311
Na 2.847 2.847 5.778
Na 2.847 2.847 9.289
Te 0.000 0.000 4.903
Te 0.000 0.000 10.164
Te 0.000 2.847 0.000
Te 0.000 2.847 7.533
Te 2.847 0.000 0.000
Te 2.847 0.000 7.533
Te 2.847 2.847 2.630
Te 2.847 2.847 12.436
Au 0.000 0.000 7.533
Au 2.847 2.847 0.000
```

Calculated values
* Fermi-level density of states: 15.74 states/eV per cell
* spin magnetization: 0.000 μB/atom
* VASP energy: -38.3 eV/cell
* volume: 34.89 A^3/atom

=====

NaTe8Au6: relaxed, PBE.

Structure (extended XYZ):
```
15
Lattice="5.488 3.168 4.418 -5.488 3.168 4.418 0.000 -6.337 4.418" Properties=species:S:1:pos:R:3 pbc="T T T"
Na 0.000 0.000 0.000
Te -0.787 -3.022 5.552
Te 0.000 0.000 3.318
Te -3.010 -0.829 7.704
Te -2.223 2.192 5.552
Te 2.223 -2.192 7.704
Te 3.010 0.829 5.552
Te 0.000 0.000 9.937
Te 0.787 3.022 7.704
Au -2.064 -0.510 5.116
Au 1.474 -1.532 5.116
Au -0.590 -2.042 8.140
Au 0.590 2.042 5.116
Au -1.474 1.532 8.140
Au 2.064 0.510 8.140
```

Calculated values
* Fermi-level density of states: 8.63 states/eV per cell
* spin magnetization: 0.000 μB/atom
* VASP energy: -46.5 eV/cell
* volume: 30.73 A^3/atom

=====

NaTe3Au6: relaxed, PBE.

Structure (extended XYZ):
```
10
Lattice="9.123 5.267 0.966 -9.123 5.267 0.966 0.000 -10.535 0.966" Properties=species:S:1:pos:R:3 pbc="T T T"
Na 0.000 0.000 0.000
Te 0.000 -5.271 0.500
Te -4.565 2.635 0.500
Te 4.565 2.635 0.500
Au -2.324 -1.342 0.917
Au 2.324 -1.342 0.917
Au 0.000 2.683 0.917
Au 0.000 -2.693 2.019
Au -2.332 1.347 2.019
Au 2.332 1.347 2.019
```

Calculated values
* Fermi-level density of states: 4.38 states/eV per cell
* spin magnetization: 0.000 μB/atom
* VASP energy: -29.1 eV/cell
* volume: 27.86 A^3/atom

=====

Na2TeAu: relaxed, PBE.

Structure (extended XYZ):
```
16
Lattice="10.813 0.000 0.000 0.000 5.479 0.000 -3.113 0.000 7.990" Properties=species:S:1:pos:R:3 pbc="T T T"
Na 0.471 0.029 1.886
Na -1.085 2.710 5.881
Na 1.829 0.935 5.773
Na 3.385 1.805 1.779
Na 4.315 3.674 6.211
Na 5.872 4.544 2.216
Na 8.786 2.769 2.109
Na 7.230 5.450 6.103
Te 0.881 2.823 3.409
Te -0.675 5.396 7.404
Te 8.376 0.083 0.586
Te 6.819 2.656 4.581
Au 1.361 3.631 7.695
Au 2.917 4.588 3.701
Au 4.783 0.891 4.289
Au 6.340 1.848 0.294
```

Calculated values
* spin magnetization: 0.000 μB/atom
* VASP energy: -46.3 eV/cell
* volume: 29.58 A^3/atom

=====

Na4Te3Au: relaxed, PBE.

Structure (extended XYZ):
```
16
Lattice="-6.073 6.073 2.913 6.073 -6.073 2.913 6.073 6.073 -2.913" Properties=species:S:1:pos:R:3 pbc="T T T"
Na 9.332 0.992 0.000
Na 0.992 2.814 0.000
Na 7.065 3.259 0.000
Na 3.259 5.081 0.000
Na 2.814 0.992 2.913
Na -0.992 2.814 2.913
Na 5.081 3.259 2.913
Na -3.259 5.081 2.913
Te 4.225 1.848 0.000
Te 0.000 0.000 1.457
Te 4.225 -1.848 2.913
Te 1.848 7.920 0.000
Te 0.000 0.000 4.370
Te 1.848 4.225 2.913
Au 6.073 0.000 1.457
Au 0.000 6.073 1.457
```

Calculated values
* Fermi-level density of states: 0.01 states/eV per cell
* spin magnetization: 0.000 μB/atom
* VASP energy: -46.8 eV/cell
* volume: 26.86 A^3/atom

=====

NaTeAu: relaxed, PBE.

Structure (extended XYZ):
```
6
Lattice="4.075 0.000 0.000 0.000 4.075 0.000 0.000 0.000 10.763" Properties=species:S:1:pos:R:3 pbc="T T T"
Na 0.000 0.000 0.000
Na 2.037 2.037 5.381
Te 0.000 0.000 7.807
Te 2.037 2.037 2.425
Au 0.000 0.000 2.787
Au 2.037 2.037 8.169
```

Calculated values
* Fermi-level density of states: 1.76 states/eV per cell
* spin magnetization: 0.000 μB/atom
* VASP energy: -17.4 eV/cell
* volume: 29.78 A^3/atom

=====

Na3TeAu: relaxed, PBE.

Structure (extended XYZ):
```
10
Lattice="4.705 0.000 0.000 0.000 8.014 0.000 -0.029 0.000 7.329" Properties=species:S:1:pos:R:3 pbc="T T T"
Na 1.157 0.330 1.830
Na 1.157 3.677 1.830
Na 1.158 2.004 5.320
Na 3.518 6.011 2.009
Na 3.519 4.337 5.498
Na 3.519 7.684 5.498
Te 1.174 6.011 4.210
Te 3.502 2.004 3.119
Au 1.119 6.011 7.181
Au 3.557 2.004 0.148
```

Calculated values
* Fermi-level density of states: 1.80 states/eV per cell
* spin magnetization: 0.000 μB/atom
* VASP energy: -26.0 eV/cell
* volume: 27.63 A^3/atom

=====

NaTeAu: relaxed, PBE.

Structure (extended XYZ):
```
3
Lattice="4.690 0.000 0.000 -2.345 4.062 0.000 0.000 0.000 4.504" Properties=species:S:1:pos:R:3 pbc="T T T"
Na 0.000 0.000 0.000
Te 2.345 1.354 2.249
Au 0.000 2.708 2.239
```

Calculated values
* Fermi-level density of states: 0.21 states/eV per cell
* spin magnetization: 0.000 μB/atom
* VASP energy: -9.3 eV/cell
* volume: 28.61 A^3/atom

=====

Na2Te3Au: relaxed, PBE.

Structure (extended XYZ):
```
12
Lattice="0.000 4.717 8.737 4.656 0.000 8.737 4.656 4.717 0.000" Properties=species:S:1:pos:R:3 pbc="T T T"
Na 7.166 4.717 8.737
Na 2.328 2.358 4.368
Na 6.984 7.075 13.105
Na 2.146 4.717 8.737
Te 4.656 1.601 6.843
Te 4.656 1.601 10.631
Te 4.656 4.717 6.708
Te 4.656 4.717 10.765
Te 4.656 7.832 6.843
Te 4.656 7.832 10.631
Au 4.656 4.717 4.115
Au 4.656 4.717 13.359
```

Calculated values
* Fermi-level density of states: 6.94 states/eV per cell
* spin magnetization: 0.000 μB/atom
* VASP energy: -35.9 eV/cell
* volume: 31.98 A^3/atom

=====

Na2TeAu: relaxed, PBE.

Structure (extended XYZ):
```
4
Lattice="4.655 0.000 0.000 0.000 4.655 0.000 0.000 0.000 4.417" Properties=species:S:1:pos:R:3 pbc="T T T"
Na 0.000 2.328 0.000
Na 2.328 0.000 0.000
Te 0.000 0.000 2.209
Au 2.328 2.328 2.209
```

Calculated values
* Fermi-level density of states: 0.98 states/eV per cell
* spin magnetization: 0.000 μB/atom
* VASP energy: -10.9 eV/cell
* volume: 23.93 A^3/atom